[1]
Entry from Alexandria via LeMat-Bulk: crystalline YLuCoIr at its relaxed geometry (PBE).

The structure in POSCAR format:
```
YLuCoIr
1.0
4.7536 0.0000 0.0000
2.3768 4.1167 0.0000
2.3768 1.3722 3.8813
Y Co Ir Lu
1 1 1 1
Cartesian
7.1303 4.1167 2.9109 Y
0.0000 0.0000 0.0000 Co
4.7536 2.7445 1.9406 Ir
2.3768 1.3722 0.9703 Lu
```

For the energy of formation from the pure elements, the calculation gives -214.4 kJ/mol of formula units. The value obtained for the total magnetization is 0.5 μB per cell. The value obtained for the final energy is -7.294 eV per atom.

***

[2]
Entry from Alexandria via LeMat-Bulk: crystalline LuZrCoIr at its relaxed geometry (PBE).

The structure in POSCAR format:
```
LuZrCoIr
1.0
-3.4522 -0.9472 2.9830
-0.2500 -4.1922 2.0191
0.9092 -0.4536 4.5477
Co Ir Lu Zr
1 1 1 1
Cartesian
-1.3965 -2.7965 4.7749 Co
0.0000 0.0000 0.0000 Ir
-0.6983 -1.3982 2.3875 Lu
-2.0948 -4.1947 7.1624 Zr
```

For the energy of formation from the pure elements, the calculation gives -234.1 kJ/mol of formula units. The value obtained for the total magnetization is 1.1 μB per cell. The value obtained for the final energy is -7.866 eV per atom.

***

[3]
Entry from Alexandria via LeMat-Bulk: crystalline Mg4CoIr at its relaxed geometry (PBE).

The structure in POSCAR format:
```
Mg4CoIr
1.0
0.0000 3.7307 3.7307
3.7307 0.0000 3.7307
3.7307 3.7307 0.0000
Mg Co Ir
4 1 1
Cartesian
2.7971 4.6643 4.6643 Mg
4.6643 4.6643 2.7971 Mg
4.6643 2.7971 4.6643 Mg
2.7971 2.7971 2.7971 Mg
5.5960 5.5960 5.5960 Co
0.0000 0.0000 0.0000 Ir
```

For the energy of formation from the pure elements, the calculation gives 284.5 kJ/mol of formula units. The value obtained for the total magnetization is 1.8 μB per cell. The value obtained for the final energy is -3.233 eV per atom.

***

[4]
Entry from Alexandria via LeMat-Bulk: crystalline Mg2CoIr2 at its relaxed geometry (PBE).

The structure in POSCAR format:
```
Mg2CoIr2
1.0
-2.8199 -4.6814 -3.0562
5.1825 -0.9049 -3.3957
1.4084 -2.7258 2.8758
Mg Ir Co
4 4 2
Cartesian
3.7024 -2.7776 -1.3713 Mg
3.0983 -5.2590 -3.4274 Mg
0.0686 -5.5345 -2.2048 Mg
0.6727 -3.0531 -0.1487 Mg
3.4499 -2.4827 -4.0427 Ir
0.8642 -4.6181 -4.8005 Ir
-1.0873 -3.1036 -2.4093 Ir
1.4984 -0.9682 -1.6515 Ir
0.0000 0.0000 0.0000 Co
1.1813 -2.7931 -3.2260 Co
```

For the energy of formation from the pure elements, the calculation gives -60.5 kJ/mol of formula units. The value obtained for the total magnetization is 3.4 μB per cell. The value obtained for the final energy is -5.729 eV per atom.

***

In order of appearance, mass density = 11.26; 12.01; 5.57; 9.91 g/cm3.